Entry 1:
Density functional theory data (GGA-PBEsol) for crystalline Ta3W5 at its relaxed geometry.

The calculation puts the mass density at 18.7 g cm⁻³. Its energy of formation is -0.0998 eV per atom.

The space group is Cmmm (No. 65) and the conventional cell measures 6.392, 9.018 and 4.515 Å, with angles of 90.00, 90.00 and 90.00 degrees. The asymmetric unit holds Ta at (0.000, 0.000, 0.000), Ta at (0.000, 0.250, 0.500), W at (0.000, 0.500, 0.000), W at (0.247, 0.500, 0.500) and W at (0.250, 0.250, 0.000).

=====

Entry 2:
Density functional theory data (GGA-PBEsol) for crystalline TcBr2F at its relaxed geometry.

The value obtained for the raw formation energy is -0.08 eV per atom. The calculation puts the mass density at 7.9 g cm⁻³.

The space group is Fm-3m (No. 225) and the conventional cell measures 6.159, 6.159 and 6.159 Å, with angles of 90.00, 90.00 and 90.00 degrees. The asymmetric unit holds Tc at (0.000, 0.000, 0.000), Br at (0.250, 0.250, 0.250) and F at (0.000, 0.000, 0.500).

=====

Entry 3:
Density functional theory data (GGA-PBEsol) for crystalline LiMnZn at its relaxed geometry.

The calculation puts the mass density at 4.1 g cm⁻³. Its energy of formation is 0.6825 eV per atom.

The space group is F-43m (No. 216) and the conventional cell measures 5.901, 5.901 and 5.901 Å, with angles of 90.00, 90.00 and 90.00 degrees. The asymmetric unit holds Li at (0.000, 0.000, 0.000), Mn at (0.250, 0.250, 0.250) and Zn at (0.000, 0.000, 0.500).

=====

Entry 4:
Density functional theory data (GGA-PBEsol) for crystalline Sc2TeAs at its relaxed geometry.

The value obtained for the raw formation energy is -0.85 eV per atom. The calculation puts the mass density at 5.8 g cm⁻³.

The space group is I-4m2 (No. 119) and the conventional cell measures 4.031, 4.031 and 10.227 Å, with angles of 90.00, 90.00 and 90.00 degrees. The asymmetric unit holds Sc at (0.000, 0.000, 0.000), Sc at (0.000, 0.500, 0.250), Te at (0.000, 0.000, 0.500) and As at (0.000, 0.500, 0.750).

=====

Entry 5:
Density functional theory data (GGA-PBEsol) for crystalline CaSiN2 at its relaxed geometry.

The value obtained for the raw formation energy is -1.39 eV per atom. The calculation puts the mass density at 3.3 g cm⁻³.

The space group is Pbca (No. 61) and the conventional cell measures 5.110, 10.167 and 14.805 Å, with angles of 90.00, 90.00 and 90.00 degrees. The asymmetric unit holds Ca at (0.152, 0.225, 0.188), Ca at (0.241, 0.509, 0.565), Si at (0.183, 0.230, 0.437), Si at (0.227, 0.516, 0.812), N at (0.097, 0.524, 0.215), N at (0.152, 0.723, 0.036), N at (0.194, 0.572, 0.410) and N at (0.222, 0.181, 0.837).

=====

Entry 6:
Density functional theory data (GGA-PBEsol) for crystalline CdBPt3 at its relaxed geometry.

The calculation puts the mass density at 15.9 g cm⁻³. Its energy of formation is -0.2237 eV per atom.

The space group is R-3m (No. 166, hexagonal axes) and the conventional cell measures 5.7366, 5.7366 and 7.7917 Å, with angles of 90.00, 90.00 and 120.00 degrees. The asymmetric unit holds Cd at (0.0000, 0.0000, 0.0000), B at (0.0000, 0.0000, 0.5000) and Pt at (0.0000, 0.5000, 0.0000).